(1)
RbNa3Te2 after structural relaxation. Source: Alexandria, functional PBE-GGA.

Lattice parameters (Å, degrees): 19.482 4.939 9.423 90.00 114.24 90.00
Space group C2/m (No. 12)
Asymmetric unit:
Rb  0.101  0.000  0.120 (multiplicity 4)
Na  0.066  0.000  0.656 (multiplicity 4)
Na  0.166  0.500  0.489 (multiplicity 4)
Na  0.183  0.500  0.885 (multiplicity 4)
Te  0.006  0.500  0.755 (multiplicity 4)
Te  0.236  0.000  0.735 (multiplicity 4)

Properties
Formation energy from raw total energies ... -518 kJ/mol of formula units
Total energy ... -2.7627 eV/atom
Volume ... 826.7 Å³ per cell

---

(2)
ZrMnW2 after structural relaxation. Source: Alexandria, functional PBE-GGA.

Lattice parameters (Å, degrees): 3.215 4.585 8.802 90.00 90.00 90.00
Space group Cmm2 (No. 35)
Asymmetric unit:
Zr  0.000  0.000  0.000 (multiplicity 2)
Mn  0.000  0.500  0.752 (multiplicity 2)
W  0.000  0.000  0.532 (multiplicity 2)
W  0.000  0.500  0.281 (multiplicity 2)

Properties
Energy relative to the elements ... 0.175 eV per atom
Total energy ... -10.7305 eV/atom
Volume ... 129.8 Å³ per cell

---

(3)
SrNiHgPb2 after structural relaxation. Source: Alexandria, functional PBE-GGA.

Lattice parameters (Å, degrees): 5.088 5.088 5.772 90.00 90.00 90.00
Space group P4/mmm (No. 123)
Asymmetric unit:
Sr  0.000  0.000  0.000 (multiplicity 1)
Ni  0.000  0.000  0.500 (multiplicity 1)
Hg  0.500  0.500  0.000 (multiplicity 1)
Pb  0.000  0.500  0.500 (multiplicity 2)

Properties
Energy relative to the elements ... -0.127 eV per atom
Total energy ... -3.1629 eV/atom
Volume ... 149.4 Å³ per cell

---

(4)
Ho3Sc2S7 after structural relaxation. Source: Alexandria, functional PBE-GGA.

Lattice parameters (Å, degrees): 12.352 3.729 11.383 90.00 104.42 90.00
Space group Cm (No. 8)
Asymmetric unit:
Ho  0.000  0.000  0.000 (multiplicity 2)
Ho  0.086  0.500  0.384 (multiplicity 2)
Ho  0.187  0.000  0.760 (multiplicity 2)
Sc  0.277  0.500  0.157 (multiplicity 2)
Sc  0.386  0.500  0.573 (multiplicity 2)
S  0.040  0.500  0.623 (multiplicity 2)
S  0.135  0.500  0.933 (multiplicity 2)
S  0.153  0.000  0.223 (multiplicity 2)
S  0.233  0.000  0.525 (multiplicity 2)
S  0.352  0.500  0.784 (multiplicity 2)
S  0.386  0.000  0.085 (multiplicity 2)
S  0.421  0.500  0.361 (multiplicity 2)

Properties
Formation energy from raw total energies ... -2341 kJ/mol of formula units
Total energy ... -6.6297 eV/atom
Volume ... 507.8 Å³ per cell

---

(5)
LiTc2Au after structural relaxation. Source: Alexandria, functional PBE-GGA.

Lattice parameters (Å, degrees): 9.869 2.727 4.528 90.00 98.17 90.00
Space group C2/m (No. 12)
Asymmetric unit:
Li  0.000  0.000  0.000 (multiplicity 2)
Tc  0.237  0.000  0.751 (multiplicity 4)
Au  0.000  0.500  0.500 (multiplicity 2)

Properties
Energy relative to the elements ... 0.180 eV per atom
Total energy ... -6.3005 eV/atom
Volume ... 120.6 Å³ per cell

---

(6)
TeIr3S after structural relaxation. Source: Alexandria, functional PBE-GGA.

Lattice parameters (Å, degrees): 4.501 4.501 4.501 90.00 90.00 90.00
Space group Pm-3m (No. 221)
Asymmetric unit:
Te  0.000  0.000  0.000 (multiplicity 1)
Ir  0.000  0.500  0.500 (multiplicity 3)
S  0.500  0.500  0.500 (multiplicity 1)

Properties
Formation energy from raw total energies ... 425 kJ/mol of formula units
Total energy ... -5.8893 eV/atom
Volume ... 91.2 Å³ per cell

---

(7)
AlB2SbIr after structural relaxation. Source: Alexandria, functional PBE-GGA.

Lattice parameters (Å, degrees): 4.303 4.303 5.186 90.00 90.00 90.00
Space group P4/mmm (No. 123)
Asymmetric unit:
Al  0.000  0.000  0.000 (multiplicity 1)
B  0.000  0.500  0.500 (multiplicity 2)
Sb  0.500  0.500  0.500 (multiplicity 1)
Ir  0.500  0.500  0.000 (multiplicity 1)

Properties
Formation energy from raw total energies ... 872 kJ/mol of formula units
Total energy ... -4.2095 eV/atom
Volume ... 96.0 Å³ per cell

---

(8)
Co2Re after structural relaxation. Source: Alexandria, functional PBE-GGA.

Lattice parameters (Å, degrees): 2.618 2.618 22.145 90.00 90.00 90.00
Space group I4_1/amd (No. 141, origin choice 2)
Asymmetric unit:
Co  0.000  0.250  0.296 (multiplicity 8)
Re  0.000  0.250  0.875 (multiplicity 4)

Properties
Energy relative to the elements ... 0.276 eV per atom
Total energy ... -8.6109 eV/atom
Volume ... 151.7 Å³ per cell